Model 1:
Below is a relaxed NbNi3Pt crystal, with properties calculated at the PBE-GGA level.

Computed properties:
- ρ: 11.46 Mg/m³

abc: 4.332 11.738 5.288
angles: 90.00 90.00 90.00
Space group Cmcm (No. 63)
One atom of each set of equivalent atoms:
Nb1 0.000 0.109 0.250 [4 per cell]
Ni1 0.000 0.314 0.005 [8 per cell]
Ni2 0.000 0.497 0.250 [4 per cell]
Pt1 0.000 0.125 0.750 [4 per cell]

***

Model 2:
Below is a relaxed NbNi3Pt crystal, with properties calculated at the PBE-GGA level.

Computed properties:
- ρ: 11.59 Mg/m³

abc: 4.572 7.045 9.350
angles: 104.07 100.34 108.58
Space group P-1 (No. 2)
One atom of each set of equivalent atoms:
Nb1 0.120 0.441 0.135 [2 per cell]
Nb2 0.126 0.942 0.364 [2 per cell]
Ni1 0.291 0.857 0.624 [2 per cell]
Ni2 0.298 0.365 0.878 [2 per cell]
Ni3 0.315 0.834 0.126 [2 per cell]
Ni4 0.323 0.350 0.377 [2 per cell]
Ni5 0.477 0.245 0.618 [2 per cell]
Ni6 0.491 0.752 0.877 [2 per cell]
Pt1 0.096 0.452 0.625 [2 per cell]
Pt2 0.108 0.963 0.876 [2 per cell]

***

The computed energies, referenced to the most stable structure and given in eV/atom, are model 1 0.043; model 2 0.000.

***

Model 1:
Below is a relaxed NbNi4Pt2 crystal, with properties calculated at the PBE-GGA level.

Computed properties:
- ρ: 9.89 Mg/m³

abc: 4.439 4.439 12.229
angles: 90.00 90.00 90.00
Space group I4/mmm (No. 139)
One atom of each set of equivalent atoms:
Nb1 0.000 0.000 0.000 [2 per cell]
Ni1 0.000 0.000 0.188 [4 per cell]
Ni2 0.000 0.500 0.000 [4 per cell]
Pt1 0.000 0.000 0.388 [4 per cell]

***

Model 2:
Below is a relaxed NbNi4Pt2 crystal, with properties calculated at the PBE-GGA level.

Computed properties:
- ρ: 12.21 Mg/m³

abc: 6.727 6.727 4.314
angles: 90.00 90.00 90.00
Space group P4_2/mnm (No. 136)
One atom of each set of equivalent atoms:
Nb1 0.000 0.000 0.000 [2 per cell]
Ni1 0.102 0.364 0.000 [8 per cell]
Pt1 0.191 0.191 0.500 [4 per cell]

***

Model 3:
Below is a relaxed NbNi4Pt2 crystal, with properties calculated at the PBE-GGA level.

Computed properties:
- ρ: 11.80 Mg/m³

abc: 4.661 4.661 9.301
angles: 90.00 90.00 90.00
Space group I4/mmm (No. 139)
One atom of each set of equivalent atoms:
Nb1 0.000 0.000 0.000 [2 per cell]
Ni1 0.000 0.500 0.000 [4 per cell]
Ni2 0.000 0.500 0.250 [4 per cell]
Pt1 0.000 0.000 0.356 [4 per cell]

***

The computed energies, referenced to the most stable structure and given in eV/atom, are model 1 0.924; model 2 0.000; model 3 0.390.

***

Model 1:
Below is a relaxed Nb2NiPt3 crystal, with properties calculated at the PBE-GGA level.

Computed properties:
- ρ: 14.62 Mg/m³

abc: 4.4750 4.4750 10.8706
angles: 90.00 90.00 120.00
Space group P6_3/mmc (No. 194)
One atom of each set of equivalent atoms:
Nb1 0.0000 0.0000 0.1256 [4 per cell]
Ni1 0.3333 0.6667 0.2500 [2 per cell]
Pt1 0.3333 0.6667 0.0130 [4 per cell]
Pt2 0.3333 0.6667 0.7500 [2 per cell]

***

Model 2:
Below is a relaxed Nb2NiPt3 crystal, with properties calculated at the PBE-GGA level.

Computed properties:
- ρ: 14.65 Mg/m³

abc: 6.893 8.016 6.989
angles: 90.00 103.08 90.00
Space group C2/c (No. 15)
One atom of each set of equivalent atoms:
Nb1 0.130 0.235 0.128 [8 per cell]
Ni1 0.000 0.388 0.750 [4 per cell]
Pt1 0.000 0.077 0.750 [4 per cell]
Pt2 0.216 0.417 0.485 [8 per cell]

***

The computed energies, referenced to the most stable structure and given in eV/atom, are model 1 0.047; model 2 0.000.

***

Model 1:
Below is a relaxed NbNi2Pt5 crystal, with properties calculated at the PBE-GGA level.

Computed properties:
- ρ: 16.25 Mg/m³

abc: 6.646 6.646 10.974
angles: 90.00 90.00 90.00
Space group I4/mcm (No. 140)
One atom of each set of equivalent atoms:
Nb1 0.000 0.000 0.250 [4 per cell]
Ni1 0.139 0.361 0.000 [8 per cell]
Pt1 0.000 0.000 0.000 [4 per cell]
Pt2 0.152 0.348 0.342 [16 per cell]

***

Model 2:
Below is a relaxed NbNi2Pt5 crystal, with properties calculated at the PBE-GGA level.

Computed properties:
- ρ: 16.59 Mg/m³

abc: 5.534 11.100 3.864
angles: 90.00 90.00 90.00
Space group Pbam (No. 55)
One atom of each set of equivalent atoms:
Nb1 0.000 0.000 0.000 [2 per cell]
Ni1 0.250 0.124 0.500 [4 per cell]
Pt1 0.000 0.500 0.000 [2 per cell]
Pt2 0.005 0.243 0.000 [4 per cell]
Pt3 0.250 0.379 0.500 [4 per cell]

***

The computed energies, referenced to the most stable structure and given in eV/atom, are model 1 0.152; model 2 0.000.